1.
The following is a SCAN calculation of LiCoO2 at its PBEsol-relaxed geometry, from Alexandria via LeMat-Bulk.

The structure in POSCAR format:
```
LiCoO2
1.0
-1.4418 1.9288 -2.4986
-1.1429 -1.5038 -2.9111
-3.4079 -0.2228 -0.6153
Co Li O
1 1 2
Cartesian
-2.9963 0.1011 -3.0125
0.0000 0.0000 0.0000
-4.4945 0.1516 -4.5187
-1.4982 0.0505 -1.5062
```

Output
**Formation energy without anion corrections**: -4.38 eV per formula unit
**SG**: Fm-3m, No. 225
**Magnetization**: 2.00 μB/f.u.

---

2.
The following is a SCAN calculation of Li3Co2O5 at its PBEsol-relaxed geometry, from Alexandria via LeMat-Bulk.

The structure in POSCAR format:
```
Li3Co2O5
1.0
-0.5089 -1.2508 4.6556
-2.2259 -4.1829 -3.0730
6.1976 -1.0128 -0.4127
O Co Li
10 4 6
Cartesian
2.3960 -1.6315 -1.0195
1.5057 -1.1436 1.4814
1.9571 -5.3029 -0.3115
0.5609 -3.0285 0.0943
-0.4135 -2.6069 2.6724
-1.7804 -4.7442 1.1538
1.0667 -4.8150 2.1894
5.2431 -1.7023 0.0161
2.9019 -3.4180 1.0757
3.8762 -3.8396 -1.5025
2.7348 -5.2991 1.3986
1.2202 -2.9372 1.8692
0.7279 -1.1473 -0.2287
2.2425 -3.5092 -0.6993
-0.4215 -3.2855 -1.7358
-1.3674 -2.7168 0.7913
3.3953 -1.4017 0.8598
0.0675 -5.0448 0.3101
3.8842 -3.1610 2.9057
-0.2545 -0.6254 2.3278
```

Output
**Formation energy without anion corrections**: -18.33 eV per formula unit
**SG**: P-1, No. 2
**Magnetization**: 1.00 μB/f.u.

---

3.
The following is a SCAN calculation of Li9Co7O16 at its PBEsol-relaxed geometry, from Alexandria via LeMat-Bulk.

The structure in POSCAR format:
```
Li9Co7O16
1.0
5.6178 0.0000 0.0000
2.8089 4.8651 0.0000
2.8089 1.6217 9.1874
Co Li O
7 9 16
Cartesian
4.2133 0.8109 4.5937
1.4044 2.4326 0.0000
2.8089 3.2434 4.5937
4.2133 2.4326 0.0000
1.4044 0.8109 4.5937
5.6178 3.2434 4.5937
2.8089 0.0000 0.0000
8.4267 4.8651 6.9485
7.0637 2.4086 6.9719
4.1718 4.0782 2.2155
0.0000 0.0000 0.0000
5.6178 4.9130 6.9719
4.1718 2.4086 6.9719
5.6178 1.5738 2.2155
2.8089 1.6217 2.2389
7.0637 4.0782 2.2155
8.4267 4.8651 3.6015
5.6178 4.8625 3.6119
5.6178 1.6244 5.5755
7.0199 4.0530 5.5755
1.4795 0.8542 1.0292
4.1383 0.8542 1.0292
5.6178 3.2434 0.9958
7.0199 2.4339 3.6119
4.2156 4.0530 5.5755
5.6178 3.2434 8.1916
7.0973 5.6327 8.1582
9.7561 5.6327 8.1582
8.4267 3.3301 8.1582
4.2156 2.4339 3.6119
2.8089 1.6217 5.5859
2.8089 3.1568 1.0292
```

Output
**Formation energy without anion corrections**: -59.10 eV per formula unit
**SG**: R-3m, No. 166
**Magnetization**: 2.08 μB/f.u.

---

- Among the records above, which one has the highest magnetization?
  Li9Co7O16